The following is a DFT calculation (meta-GGA SCAN) of a crystal of Ta2SiIr relaxed with PBEsol.

CIF file:
```
data_Ta2SiIr
_symmetry_space_group_name_H-M 'P m m m'
_symmetry_Int_Tables_number 47
_symmetry_space_group_name_Hall '-P 2 2'
_cell_length_a 2.8233
_cell_length_b 4.0374
_cell_length_c 5.3560
_cell_angle_alpha 90.00
_cell_angle_beta 90.00
_cell_angle_gamma 90.00
loop_
_atom_site_label
_atom_site_fract_x
_atom_site_fract_y
_atom_site_fract_z
_atom_site_occupancy
Ta1 0.0000 0.0000 0.2471 1
Si1 0.5000 0.5000 0.0000 1
Ir1 0.5000 0.5000 0.5000 1
```

- formation energy without anion corrections (kJ/mol of formula units) = -209
- E_tot (hartree per atom) = -1.98854
- DOS at the Fermi energy (states/eV/f.u.) = 2.1